DFT (PBE) results for a geometry-optimized RbCoPb2 structure.

a b c (Å): 7.072 7.072 8.347
angles (deg): 64.94 64.94 90.00
Element x y z (fractional)
Pb 0.377 0.125 0.250
Pb 0.875 0.627 0.750
Pb 0.375 0.623 0.750
Pb 0.373 0.625 0.250
Co 0.500 0.500 0.000
Co 0.250 0.750 0.500
Rb 0.750 0.250 0.500
Rb 0.000 0.000 0.000

Computed properties:
excess energy over the best structure of this formula in the dataset	0.0	meV per atom
energy relative to the elements	24.1	kJ per mole of atoms
symmetry	I-42d, No. 122

---

DFT (PBE) results for a geometry-optimized AlBiAs3 structure.

a b c (Å): 4.908 4.908 4.908
angles (deg): 90.00 90.00 90.00
Element x y z (fractional)
As 0.500 0.000 0.000
As 0.000 0.500 0.000
As 0.000 0.000 0.500
Bi 0.500 0.500 0.500
Al 0.000 0.000 0.000

Computed properties:
excess energy over the best structure of this formula in the dataset	0.0	meV per atom
energy relative to the elements	37.2	kJ per mole of atoms
symmetry	Pm-3m, No. 221

---

DFT (PBE) results for a geometry-optimized Y4BeSeS2 structure.

a b c (Å): 3.897 6.936 6.978
angles (deg): 71.58 90.00 90.00
Element x y z (fractional)
Se 0.500 0.500 0.000
Y 0.000 0.246 0.264
Y 0.500 0.252 0.742
Y 0.000 0.754 0.736
Y 0.500 0.748 0.258
Be 0.000 0.500 0.500
S 0.000 0.000 0.000
S 0.500 0.000 0.500

Computed properties:
symmetry	P2/m, No. 10
ΔE_f (raw)	-1433	meV/atom